The following is a DFT calculation (PBE) of an optimized crystal structure of Cr2GaBiOs.

a = 4.5990 Å, b = 4.5990 Å, c = 5.2533 Å
α = 90.00°, β = 90.00°, γ = 90.00°
With the nearest neighbours (Å) after each atom.
Space group P4/mmm (No. 123)
Symmetry-distinct sites (fractional):
Cr 0.0000 0.5000 0.0000 [2 per cell]  2 Ga 2.30
Ga 0.0000 0.0000 0.0000 [1 per cell]  4 Cr 2.30
Bi 0.0000 0.0000 0.5000 [1 per cell]  2 Ga 2.63
Os 0.5000 0.5000 0.5000 [1 per cell]  4 Bi 3.25, 8 Cr 3.49

Values from the calculation:
**Calculated formation energy**: 1.719 eV/atom
**Electronic total energy**: -5.76 eV/atom

The following is a DFT calculation (PBE) of an optimized crystal structure of CrGa2BiS.

a = 4.8290 Å, b = 4.8290 Å, c = 5.1280 Å
α = 90.00°, β = 90.00°, γ = 90.00°
With the nearest neighbours (Å) after each atom.
Space group P4/mmm (No. 123)
Symmetry-distinct sites (fractional):
Cr 0.0000 0.0000 0.0000 [1 per cell]  4 Ga 2.41, 2 Bi 2.56
Ga 0.0000 0.5000 0.0000 [2 per cell]  2 Cr 2.41
Bi 0.0000 0.0000 0.5000 [1 per cell]  2 Cr 2.56
S 0.5000 0.5000 0.5000 [1 per cell]  4 Bi 3.41, 8 Ga 3.52

Values from the calculation:
**Electronic total energy**: -4.34 eV/atom
**Uncorrected formation energy**: 0.39 eV per atom

The following is a DFT calculation (PBE) of an optimized crystal structure of ScCrGaBi2.

a = 5.2919 Å, b = 5.2919 Å, c = 4.7215 Å
α = 90.00°, β = 90.00°, γ = 90.00°
With the nearest neighbours (Å) after each atom.
Space group P4/mmm (No. 123)
Symmetry-distinct sites (fractional):
Sc 0.0000 0.0000 0.0000 [1 per cell]  8 Bi 3.55, 4 Ga 3.74
Cr 0.5000 0.5000 0.5000 [1 per cell]  2 Ga 2.36
Ga 0.5000 0.5000 0.0000 [1 per cell]  2 Cr 2.36
Bi 0.0000 0.5000 0.5000 [2 per cell]  2 Cr 2.65

Values from the calculation:
**Calculated formation energy**: 0.347 eV/atom
**Electronic total energy**: -5.00 eV/atom

The following is a DFT calculation (PBE) of an optimized crystal structure of TlCr2GaBi.

a = 5.3028 Å, b = 5.3028 Å, c = 6.0958 Å
α = 90.00°, β = 90.00°, γ = 90.00°
With the nearest neighbours (Å) after each atom.
Space group P4/mmm (No. 123)
Symmetry-distinct sites (fractional):
Tl 0.0000 0.0000 0.0000 [1 per cell]  2 Bi 3.05
Cr 0.0000 0.5000 0.5000 [2 per cell]  2 Bi 2.65
Ga 0.5000 0.5000 0.0000 [1 per cell]  4 Tl 3.75, 8 Cr 4.04
Bi 0.0000 0.0000 0.5000 [1 per cell]  4 Cr 2.65

Values from the calculation:
**Calculated formation energy**: 1.114 eV/atom
**Electronic total energy**: -4.59 eV/atom

The following is a DFT calculation (PBE) of an optimized crystal structure of Cr2GeBi.

a = 6.4144 Å, b = 6.4144 Å, c = 6.4144 Å
α = 90.00°, β = 90.00°, γ = 90.00°
With the nearest neighbours (Å) after each atom.
Space group Fm-3m (No. 225)
Symmetry-distinct sites (fractional):
Cr 0.2500 0.2500 0.2500 [8 per cell]  4 Ge 2.78, 4 Bi 2.78
Ge 0.0000 0.0000 0.0000 [4 per cell]  8 Cr 2.78
Bi 0.0000 0.0000 0.5000 [4 per cell]  8 Cr 2.78

Values from the calculation:
**Calculated formation energy**: 0.615 eV/atom
**Polymorph energy (0 for the lowest one)**: 0.00 eV/f.u.
**Electronic total energy**: -6.32 eV/atom

The following is a DFT calculation (PBE) of an optimized crystal structure of Cr2Ge2Bi.

a = 7.3673 Å, b = 7.3673 Å, c = 3.0369 Å
α = 90.00°, β = 90.00°, γ = 90.00°
With the nearest neighbours (Å) after each atom.
Space group P4/mbm (No. 127)
Symmetry-distinct sites (fractional):
Cr 0.1442 0.3558 0.0000 [4 per cell]  6 Ge 2.59-2.72, 2 Bi 2.83
Ge 0.1397 0.6397 0.5000 [4 per cell]  6 Cr 2.59-2.72
Bi 0.0000 0.0000 0.0000 [2 per cell]  4 Cr 2.83, 2 Bi 3.04

Values from the calculation:
**Calculated formation energy**: 0.419 eV/atom
**Polymorph energy (0 for the lowest one)**: 0.64 eV/f.u.
**Electronic total energy**: -6.05 eV/atom